Entry 1:
Below is ReHg2W after structural relaxation, with properties calculated at the PBE-GGA level.

## Properties
electronic total energy = -5.44 eV/atom
crystal system = cubic
energy above the lowest structure with this stoichiometry = 2.23 eV/f.u.
ΔE_f = 102.14 kJ per mole of atoms

Cell lengths 4.6756, 4.6756, 4.6756 Å; angles 60.00, 60.00, 60.00 degrees
Last column: nearest neighbours and their distance in Å.
Positions (direct):
Re  0.5000  0.5000  0.5000  4 W 2.86, 4 Hg 2.86
Hg  0.0000  0.0000  0.0000  4 Hg 2.86, 4 W 2.86
Hg  0.2500  0.2500  0.2500  4 Re 2.86, 4 Hg 2.86
W  0.7500  0.7500  0.7500  4 Hg 2.86, 4 Re 2.86

---

Entry 2:
Below is RbInH2Os after structural relaxation, with properties calculated at the PBE-GGA level.

## Properties
electronic total energy = -2.68 eV/atom
crystal system = tetragonal

Cell lengths 4.0294, 6.5831, 4.0294 Å; angles 90.00, 90.00, 90.00 degrees
Last column: nearest neighbours and their distance in Å.
Positions (direct):
In  0.5000  0.5000  0.5000  4 Os 2.85
H  0.5000  0.0000  0.0000  2 Rb 2.01
H  0.0000  0.0000  0.5000  2 Rb 2.01
Os  0.0000  0.5000  0.0000  4 In 2.85
Rb  0.0000  0.0000  0.0000  4 H 2.01

---

Entry 3:
Below is NaBiSb2 after structural relaxation, with properties calculated at the PBE-GGA level.

## Properties
electronic total energy = -3.38 eV/atom
E_form (uncorrected) = -16.4 meV/atom
crystal system = tetragonal

Cell lengths 4.1799, 4.1799, 6.8101 Å; angles 90.00, 90.00, 90.00 degrees
Last column: nearest neighbours and their distance in Å.
Positions (direct):
Na  0.5000  0.5000  0.5000  2 Bi 3.41, 8 Sb 3.48
Sb  0.0000  0.0000  0.2304  1 Sb 3.14, 4 Bi 3.35, 4 Na 3.48
Sb  0.0000  0.0000  0.7696  1 Sb 3.14, 4 Bi 3.35, 4 Na 3.48
Bi  0.5000  0.5000  0.0000  8 Sb 3.35, 2 Na 3.41

---

Entry 4:
Below is RbZn4As3 after structural relaxation, with properties calculated at the PBE-GGA level.

## Properties
electronic total energy = -2.79 eV/atom
crystal system = tetragonal
ΔE_f = -28.18 kJ per mole of atoms

Cell lengths 4.2110, 4.2110, 10.5092 Å; angles 90.00, 90.00, 90.00 degrees
Last column: nearest neighbours and their distance in Å.
Positions (direct):
Zn  0.0000  0.5000  0.1570  4 As 2.53-2.68
Zn  0.5000  0.0000  0.8430  4 As 2.53-2.68
Zn  0.0000  0.5000  0.8430  4 As 2.53-2.68
Zn  0.5000  0.0000  0.1570  4 As 2.53-2.68
Rb  0.0000  0.0000  0.5000  8 As 3.71
As  0.5000  0.5000  0.2897  4 Zn 2.53
As  0.0000  0.0000  0.0000  8 Zn 2.68
As  0.5000  0.5000  0.7103  4 Zn 2.53

---

Entry 5:
Below is DyYPuSc after structural relaxation, with properties calculated at the PBE-GGA level.

## Properties
electronic total energy = -7.74 eV/atom
crystal system = cubic
ΔE_f = 18.26 kJ per mole of atoms

Cell lengths 5.4691, 5.4691, 5.4691 Å; angles 60.00, 60.00, 60.00 degrees
Last column: nearest neighbours and their distance in Å.
Positions (direct):
Pu  0.7500  0.7500  0.7500  4 Sc 3.35, 4 Dy 3.35
Dy  0.5000  0.5000  0.5000  4 Pu 3.35, 4 Y 3.35
Y  0.2500  0.2500  0.2500  4 Dy 3.35, 4 Sc 3.35
Sc  0.0000  0.0000  0.0000  4 Pu 3.35, 4 Y 3.35

---

Entry 6:
Below is AlNi2Te after structural relaxation, with properties calculated at the PBE-GGA level.

## Properties
electronic total energy = -4.77 eV/atom
E_form (uncorrected) = -160.9 meV/atom
crystal system = orthorhombic
energy above the lowest structure with this stoichiometry = 0.00 eV/f.u.

Cell lengths 4.9947, 4.9947, 3.8264 Å; angles 90.01, 90.01, 40.01 degrees
Last column: nearest neighbours and their distance in Å.
Positions (direct):
Te  0.5195  0.5195  0.6250  7 Ni 2.51-2.77
Al  0.2379  0.2379  0.1249  7 Ni 2.61-2.66
Ni  0.7874  0.7874  0.6250  2 Ni 2.48, 3 Te 2.51-2.77, 4 Al 2.61
Ni  0.9552  0.9552  0.1251  2 Ni 2.48, 4 Te 2.63-2.64, 3 Al 2.65-2.66

---

- Which value of electronic total energy does entry 4 give?
  -2.79 eV/atom